Below is a geometry-optimized AcSmAu structure, with properties calculated at the PBE-GGA level.

a b c (Å): 5.2345 5.2345 5.2345
angles (deg): 60.00 60.00 60.00
Closest atoms and distances in Å follow each position.
Fractional coordinates of all 3 atoms:
Ac (0.0000, 0.0000, 0.0000)  4 Au 3.21
Sm (0.5000, 0.5000, 0.5000)  4 Au 3.21
Au (0.2500, 0.2500, 0.2500)  4 Ac 3.21, 4 Sm 3.21

Formation enthalpy at 0 K: -1.03 eV per formula unit